Entry 1:
Here is a crystal of GaB3P relaxed with PBEsol from Alexandria. Energies are from SCAN.

Unit cell a=4.0565 b=4.0565 c=4.0565 alpha=90.00 beta=90.00 gamma=90.00
Sites, in units of the cell vectors:
B 0.0000 0.0000 0.5000
P 0.5000 0.5000 0.5000
B 0.5000 0.0000 0.0000
Ga 0.0000 0.0000 0.0000
B 0.0000 0.5000 0.0000

Computed properties:
The total DFT energy (no corrections) is -7.66 eV per atom. The value obtained for the density of states at the Fermi level is 2.40 states/eV per cell.



Entry 2:
Here is a crystal of GaBP3 relaxed with PBEsol from Alexandria. Energies are from SCAN.

Unit cell a=4.1179 b=4.1179 c=4.1179 alpha=90.00 beta=90.00 gamma=90.00
Sites, in units of the cell vectors:
P 0.5000 0.0000 0.0000
B 0.0000 0.0000 0.0000
Ga 0.5000 0.5000 0.5000
P 0.0000 0.5000 0.0000
P 0.0000 0.0000 0.5000

Computed properties:
The total DFT energy (no corrections) is -10.08 eV per atom. The value obtained for the density of states at the Fermi level is 2.12 states/eV per cell.



The highest total DFT energy (no corrections) belongs to which entry? GaB3P